Entry 1:
The following is a PBE calculation of an optimized crystal structure of MgZn, from OQMD via LeMat-Bulk.

Calculated values
**Mass density**: 4.1 g cm⁻³
**E_tot**: -1.409 eV/atom

```
data_MgZn
_cell_length_a 6.000
_cell_length_b 4.857
_cell_length_c 7.580
_cell_angle_alpha 90.00
_cell_angle_beta 101.21
_cell_angle_gamma 90.00
_space_group_name_H-M_alt 'P 1 21/m 1'
_space_group_IT_number 11
loop_
_space_group_symop_operation_xyz
'x,y,z'
'-x,-y,-z'
'-x,y+1/2,-z'
'x,-y+1/2,z'
loop_
_atom_site_label
_atom_site_type_symbol
_atom_site_fract_x
_atom_site_fract_y
_atom_site_fract_z
Mg1 Mg 0.024 0.250 0.108
Mg2 Mg 0.142 0.750 0.551
Mg3 Mg 0.366 0.250 0.439
Zn1 Zn 0.202 0.250 0.778
Zn2 Zn 0.313 0.750 0.220
Zn3 Zn 0.474 0.750 0.900
```

---

Entry 2:
The following is a PBE calculation of an optimized crystal structure of Mg3Zn4, from OQMD via LeMat-Bulk.

Calculated values
**Mass density**: 4.5 g cm⁻³
**E above lowest polymorph**: 0.043 eV per atom

```
data_Mg3Zn4
_cell_length_a 7.6537
_cell_length_b 7.6537
_cell_length_c 4.8298
_cell_angle_alpha 90.00
_cell_angle_beta 90.00
_cell_angle_gamma 120.00
_space_group_name_H-M_alt 'P 63/m'
_space_group_IT_number 176
_space_group_name_Hall '-P 6c'
loop_
_atom_site_label
_atom_site_type_symbol
_atom_site_fract_x
_atom_site_fract_y
_atom_site_fract_z
Mg1 Mg 0.0521 0.2551 0.2500
Zn1 Zn 0.1005 0.4809 0.7500
Zn2 Zn 0.3333 0.6667 0.2500
```

---

Entry 3:
The following is a PBE calculation of an optimized crystal structure of MgZn, from OQMD via LeMat-Bulk.

Calculated values
**Mass density**: 4.2 g cm⁻³
**E_tot**: -1.484 eV/atom

```
data_MgZn
_cell_length_a 5.313
_cell_length_b 17.591
_cell_length_c 9.177
_cell_angle_alpha 90.00
_cell_angle_beta 90.00
_cell_angle_gamma 90.00
_space_group_name_H-M_alt 'I m m 2'
_space_group_IT_number 44
loop_
_space_group_symop_operation_xyz
'x,y,z'
'-x,-y,z'
'-x,y,z'
'x,-y,z'
'x+1/2,y+1/2,z+1/2'
'-x+1/2,-y+1/2,z+1/2'
'-x+1/2,y+1/2,z+1/2'
'x+1/2,-y+1/2,z+1/2'
loop_
_atom_site_label
_atom_site_type_symbol
_atom_site_fract_x
_atom_site_fract_y
_atom_site_fract_z
Mg1 Mg 0.000 0.092 0.000
Mg2 Mg 0.000 0.125 0.667
Mg3 Mg 0.000 0.157 0.333
Mg4 Mg 0.000 0.342 0.333
Mg5 Mg 0.000 0.375 0.666
Mg6 Mg 0.000 0.407 0.000
Zn1 Zn 0.000 0.000 0.494
Zn2 Zn 0.000 0.250 0.839
Zn3 Zn 0.000 0.500 0.494
Zn4 Zn 0.241 0.000 0.252
Zn5 Zn 0.241 0.500 0.252
Zn6 Zn 0.242 0.250 0.081
```